Here is a geometry-optimized Rb3BH structure from Alexandria. Energies are from PBE-GGA.

Summary:
Crystal system ... cubic
Total magnetic moment ... 0.60 μB/atom
E_tot ... -1.84 eV/atom

Lattice parameters (Å, degrees): 5.5667 5.5667 5.5667 90.00 90.00 90.00
Closest atoms and distances in Å follow each position.
Atoms (fractional coordinates):
Rb 0.0000 0.0000 0.5000  2 H 2.78
Rb 0.0000 0.5000 0.0000  2 H 2.78
Rb 0.5000 0.0000 0.0000  2 H 2.78
B 0.5000 0.5000 0.5000  12 Rb 3.94
H 0.0000 0.0000 0.0000  6 Rb 2.78

=====

Here is a geometry-optimized RbB3H structure from Alexandria. Energies are from PBE-GGA.

Summary:
Crystal system ... cubic
Total magnetic moment ... 1.00 μB/atom
E_tot ... -1.16 eV/atom

Lattice parameters (Å, degrees): 6.3174 6.3174 6.3174 90.00 90.00 90.00
Closest atoms and distances in Å follow each position.
Atoms (fractional coordinates):
Rb 0.0000 0.0000 0.0000  6 B 3.16
B 0.0000 0.0000 0.5000  2 Rb 3.16
B 0.0000 0.5000 0.0000  2 Rb 3.16
B 0.5000 0.0000 0.0000  2 Rb 3.16
H 0.5000 0.5000 0.5000  12 B 4.47

=====

Here is a geometry-optimized RbB2H6 structure from Alexandria. Energies are from PBE-GGA.

Summary:
Crystal system ... cubic
Total magnetic moment ... 0.00 μB/atom
E_tot ... -2.19 eV/atom

Lattice parameters (Å, degrees): 4.9770 4.9770 4.9770 60.00 60.00 60.00
Closest atoms and distances in Å follow each position.
Atoms (fractional coordinates):
Rb 0.0000 0.0000 0.0000  6 H 2.59
B 0.2500 0.2500 0.2500  12 H 2.62
B 0.7500 0.7500 0.7500  12 H 2.62
H 0.3675 0.3675 0.6325  4 H 1.32
H 0.3675 0.6325 0.3675  4 H 1.32
H 0.3675 0.6325 0.6325  4 H 1.32
H 0.6325 0.3675 0.3675  4 H 1.32
H 0.6325 0.3675 0.6325  4 H 1.32
H 0.6325 0.6325 0.3675  4 H 1.32

=====

Here is a geometry-optimized RbB3H structure from Alexandria. Energies are from PBE-GGA.

Summary:
Crystal system ... cubic
Total magnetic moment ... 0.00 μB/atom
E_tot ... -2.34 eV/atom

Lattice parameters (Å, degrees): 4.1373 4.1373 4.1373 90.00 90.00 90.00
Closest atoms and distances in Å follow each position.
Atoms (fractional coordinates):
Rb 0.0000 0.0000 0.0000  12 B 2.93
B 0.0000 0.5000 0.5000  2 H 2.07
B 0.5000 0.0000 0.5000  2 H 2.07
B 0.5000 0.5000 0.0000  2 H 2.07
H 0.5000 0.5000 0.5000  6 B 2.07

=====

Here is a geometry-optimized Rb2BH5 structure from Alexandria. Energies are from PBE-GGA.

Summary:
Crystal system ... tetragonal
Total magnetic moment ... 0.00 μB/atom
E_tot ... -3.25 eV/atom

Lattice parameters (Å, degrees): 5.4861 5.4861 5.4861 117.17 117.17 94.97
Closest atoms and distances in Å follow each position.
Atoms (fractional coordinates):
Rb 0.0000 0.5000 0.5000  10 H 2.79-2.88
Rb 0.5000 0.0000 0.5000  10 H 2.79-2.88
B 0.2173 0.2173 0.0000  1 H 1.24
H 0.0500 0.0500 0.0000  1 B 1.24
H 0.0871 0.0871 0.6627  1 B 1.39
H 0.0871 0.4244 0.0000  1 B 1.39
H 0.4244 0.0871 0.0000  1 B 1.39
H 0.4244 0.4244 0.3373  1 B 1.39

=====

Here is a geometry-optimized RbB2H structure from Alexandria. Energies are from PBE-GGA.

Summary:
Crystal system ... cubic
Total magnetic moment ... 0.00 μB/atom
E_tot ... -2.76 eV/atom

Lattice parameters (Å, degrees): 5.2960 5.2960 5.2960 60.00 60.00 60.00
Closest atoms and distances in Å follow each position.
Atoms (fractional coordinates):
Rb 0.1250 0.1250 0.1250  12 B 3.11, 4 H 3.24, 4 Rb 3.24
Rb 0.8750 0.8750 0.8750  12 B 3.11, 4 Rb 3.24, 4 H 3.24
B 0.0000 0.5000 0.5000  2 H 1.62
B 0.5000 0.0000 0.5000  2 H 1.62
B 0.5000 0.5000 0.0000  2 H 1.62
B 0.5000 0.5000 0.5000  2 H 1.62
H 0.3750 0.3750 0.3750  4 B 1.62
H 0.6250 0.6250 0.6250  4 B 1.62

=====

Here is a geometry-optimized RbB2H6 structure from Alexandria. Energies are from PBE-GGA.

Summary:
Crystal system ... orthorhombic
Total magnetic moment ... 0.02 μB/atom
E_tot ... -3.94 eV/atom

Lattice parameters (Å, degrees): 6.9187 6.9187 6.9187 141.46 100.22 92.31
Closest atoms and distances in Å follow each position.
Atoms (fractional coordinates):
Rb 0.2500 0.2500 0.0000  12 H 2.72-2.98
Rb 0.7500 0.7500 0.0000  12 H 2.72-2.98
B 0.2195 0.5020 0.7215  3 H 1.20
B 0.2805 0.0020 0.2825  3 H 1.20
B 0.7195 0.9980 0.7175  3 H 1.20
B 0.7805 0.4980 0.2785  3 H 1.20
H 0.0428 0.3930 0.6536  1 B 1.20
H 0.1449 0.0022 0.1471  1 B 1.20
H 0.2394 0.8930 0.3502  1 B 1.20
H 0.2606 0.6108 0.6536  1 B 1.20
H 0.3551 0.5022 0.8573  1 B 1.20
H 0.4572 0.1108 0.3502  1 B 1.20
H 0.5428 0.8892 0.6498  1 B 1.20
H 0.6449 0.4978 0.1427  1 B 1.20
H 0.7394 0.3892 0.3464  1 B 1.20
H 0.7606 0.1070 0.6498  1 B 1.20
H 0.8551 0.9978 0.8529  1 B 1.20
H 0.9572 0.6070 0.3464  1 B 1.20

=====

Here is a geometry-optimized Rb3BH6 structure from Alexandria. Energies are from PBE-GGA.

Summary:
Crystal system ... orthorhombic
Total magnetic moment ... 0.00 μB/atom
E_tot ... -3.27 eV/atom

Lattice parameters (Å, degrees): 7.5110 7.5110 7.5649 90.00 90.00 68.51
Closest atoms and distances in Å follow each position.
Atoms (fractional coordinates):
Rb 0.0254 0.9746 0.5000  9 H 2.86-3.10, 1 B 3.20
Rb 0.2154 0.4129 0.0819  7 H 2.83-3.17
Rb 0.4129 0.2154 0.5819  7 H 2.83-3.17
Rb 0.5871 0.7846 0.0819  7 H 2.83-3.17
Rb 0.7846 0.5871 0.5819  7 H 2.83-3.17
Rb 0.9746 0.0254 0.0000  9 H 2.86-3.10, 1 B 3.20
B 0.3362 0.6638 0.7410  4 H 1.23
B 0.6638 0.3362 0.2410  4 H 1.23
H 0.0613 0.2752 0.7584  5 Rb 2.83-3.07
H 0.1775 0.6601 0.7771  1 B 1.23
H 0.2752 0.0613 0.2584  5 Rb 2.83-3.07
H 0.3399 0.8225 0.7771  1 B 1.23
H 0.3645 0.6355 0.5816  1 B 1.23
H 0.4615 0.5385 0.8242  1 B 1.23
H 0.5385 0.4615 0.3242  1 B 1.23
H 0.6355 0.3645 0.0816  1 B 1.23
H 0.6601 0.1775 0.2771  1 B 1.23
H 0.7248 0.9387 0.7584  5 Rb 2.83-3.07
H 0.8225 0.3399 0.2771  1 B 1.23
H 0.9387 0.7248 0.2584  5 Rb 2.83-3.07

=====

Here is a geometry-optimized RbB6H6 structure from Alexandria. Energies are from PBE-GGA.

Summary:
Crystal system ... cubic
Total magnetic moment ... 0.00 μB/atom
E_tot ... -5.10 eV/atom

Lattice parameters (Å, degrees): 7.7016 7.7016 7.7016 60.00 60.00 60.00
Closest atoms and distances in Å follow each position.
Atoms (fractional coordinates):
Rb 0.2500 0.2500 0.2500  12 H 2.99
Rb 0.7500 0.7500 0.7500  12 H 2.99
B 0.0505 0.2137 0.7863  1 H 1.21
B 0.0505 0.7863 0.9495  1 H 1.21
B 0.0505 0.9495 0.2137  1 H 1.21
B 0.2137 0.0505 0.9495  1 H 1.21
B 0.2137 0.7863 0.0505  1 H 1.21
B 0.2137 0.9495 0.7863  1 H 1.21
B 0.7863 0.0505 0.2137  1 H 1.21
B 0.7863 0.2137 0.9495  1 H 1.21
B 0.7863 0.9495 0.0505  1 H 1.21
B 0.9495 0.0505 0.7863  1 H 1.21
B 0.9495 0.2137 0.0505  1 H 1.21
B 0.9495 0.7863 0.2137  1 H 1.21
H 0.0891 0.3654 0.6346  1 B 1.21
H 0.0891 0.6346 0.9109  1 B 1.21
H 0.0891 0.9109 0.3654  1 B 1.21
H 0.3654 0.0891 0.9109  1 B 1.21
H 0.3654 0.6346 0.0891  1 B 1.21
H 0.3654 0.9109 0.6346  1 B 1.21
H 0.6346 0.0891 0.3654  1 B 1.21
H 0.6346 0.3654 0.9109  1 B 1.21
H 0.6346 0.9109 0.0891  1 B 1.21
H 0.9109 0.0891 0.6346  1 B 1.21
H 0.9109 0.3654 0.0891  1 B 1.21
H 0.9109 0.6346 0.3654  1 B 1.21

=====

Here is a geometry-optimized Rb2BH5 structure from Alexandria. Energies are from PBE-GGA.

Summary:
Crystal system ... orthorhombic
Total magnetic moment ... 0.01 μB/atom
E_tot ... -3.48 eV/atom

Lattice parameters (Å, degrees): 5.7827 5.7827 5.7827 128.46 91.12 111.01
Closest atoms and distances in Å follow each position.
Atoms (fractional coordinates):
Rb 0.2291 0.0000 0.2291  6 H 2.79-2.95
Rb 0.7709 0.0000 0.7709  6 H 2.79-2.95
B 0.4248 0.4248 0.0000  4 H 1.22-1.23
H 0.3149 0.1154 0.8004  1 B 1.23
H 0.3149 0.5145 0.1996  1 B 1.23
H 0.4090 0.5326 0.8764  1 B 1.22
H 0.6562 0.5326 0.1236  1 B 1.22
H 0.8665 0.3665 0.5000  8 H 3.24-3.48, 6 Rb 3.24-3.25

=====

Here is a geometry-optimized Rb2BH6 structure from Alexandria. Energies are from PBE-GGA.

Summary:
Crystal system ... trigonal
Total magnetic moment ... 0.09 μB/atom
E_tot ... -3.05 eV/atom

Lattice parameters (Å, degrees): 5.3163 5.3163 4.7781 90.00 90.00 120.00
Closest atoms and distances in Å follow each position.
Atoms (fractional coordinates):
Rb 0.3333 0.6667 0.2714  9 H 2.73-2.85
Rb 0.6667 0.3333 0.7286  9 H 2.73-2.85
B 0.0000 0.0000 0.0000  6 H 1.39
H 0.1240 0.2479 0.8327  1 B 1.39
H 0.1240 0.8760 0.8327  1 B 1.39
H 0.2479 0.1240 0.1673  1 B 1.39
H 0.7521 0.8760 0.8327  1 B 1.39
H 0.8760 0.1240 0.1673  1 B 1.39
H 0.8760 0.7521 0.1673  1 B 1.39

=====

Here is a geometry-optimized RbB2H7 structure from Alexandria. Energies are from PBE-GGA.

Summary:
Crystal system ... orthorhombic
Total magnetic moment ... 0.00 μB/atom
E_tot ... -3.70 eV/atom

Lattice parameters (Å, degrees): 6.8857 6.8857 3.1356 90.00 90.00 136.96
Closest atoms and distances in Å follow each position.
Atoms (fractional coordinates):
Rb 0.0000 0.0000 0.0000  16 H 2.79-2.97
B 0.3917 0.6083 0.5000  2 H 1.21
B 0.6083 0.3917 0.5000  2 H 1.21
H 0.1351 0.4410 0.5000  1 B 1.21
H 0.4072 0.5928 0.0000  2 B 1.58
H 0.4410 0.1351 0.5000  1 B 1.21
H 0.5000 0.5000 0.5000  2 B 1.39
H 0.5590 0.8649 0.5000  1 B 1.21
H 0.5928 0.4072 0.0000  2 B 1.58
H 0.8649 0.5590 0.5000  1 B 1.21

=====

Here is a geometry-optimized RbB2H structure from Alexandria. Energies are from PBE-GGA.

Summary:
Crystal system ... cubic
Total magnetic moment ... 0.27 μB/atom
E_tot ... -1.82 eV/atom

Lattice parameters (Å, degrees): 4.7406 4.7406 4.7406 60.00 60.00 60.00
Closest atoms and distances in Å follow each position.
Atoms (fractional coordinates):
Rb 0.0000 0.0000 0.0000  8 B 2.90
B 0.2500 0.2500 0.2500  4 H 2.90, 4 Rb 2.90
B 0.7500 0.7500 0.7500  4 H 2.90, 4 Rb 2.90
H 0.5000 0.5000 0.5000  8 B 2.90

=====

Here is a geometry-optimized Rb2BH4 structure from Alexandria. Energies are from PBE-GGA.

Summary:
Crystal system ... orthorhombic
Total magnetic moment ... 0.11 μB/atom
E_tot ... -3.38 eV/atom

Lattice parameters (Å, degrees): 6.1617 6.1515 6.1742 59.99 59.82 60.19
Closest atoms and distances in Å follow each position.
Atoms (fractional coordinates):
Rb 0.0000 0.0000 0.5000  4 H 2.87-2.89
Rb 0.5000 0.5000 0.0000  4 H 2.87-2.89
B 0.2530 0.2530 0.7470  4 H 1.23
H 0.0563 0.2880 0.7120  1 B 1.23
H 0.2176 0.4499 0.7824  1 B 1.23
H 0.2880 0.0563 0.9437  1 B 1.23
H 0.4499 0.2176 0.5501  1 B 1.23

=====

Here is a geometry-optimized RbB3H3 structure from Alexandria. Energies are from PBE-GGA.

Summary:
Crystal system ... cubic
Total magnetic moment ... 0.00 μB/atom
E_tot ... -4.76 eV/atom

Lattice parameters (Å, degrees): 6.5036 6.5036 6.5036 60.00 60.00 60.00
Closest atoms and distances in Å follow each position.
Atoms (fractional coordinates):
Rb 0.2500 0.2500 0.2500  12 H 3.25, 12 B 3.43
Rb 0.7500 0.7500 0.7500  12 H 3.25, 12 B 3.43
B 0.1330 0.1330 0.8670  1 H 1.21
B 0.1330 0.8670 0.1330  1 H 1.21
B 0.1330 0.8670 0.8670  1 H 1.21
B 0.8670 0.1330 0.1330  1 H 1.21
B 0.8670 0.1330 0.8670  1 H 1.21
B 0.8670 0.8670 0.1330  1 H 1.21
H 0.2645 0.2645 0.7355  1 B 1.21
H 0.2645 0.7355 0.2645  1 B 1.21
H 0.2645 0.7355 0.7355  1 B 1.21
H 0.7355 0.2645 0.2645  1 B 1.21
H 0.7355 0.2645 0.7355  1 B 1.21
H 0.7355 0.7355 0.2645  1 B 1.21

=====

Here is a geometry-optimized RbBH3 structure from Alexandria. Energies are from PBE-GGA.

Summary:
Crystal system ... cubic
Total magnetic moment ... 0.00 μB/atom
E_tot ... -2.96 eV/atom

Lattice parameters (Å, degrees): 3.6114 3.6114 3.6114 90.00 90.00 90.00
Closest atoms and distances in Å follow each position.
Atoms (fractional coordinates):
Rb 0.0000 0.0000 0.0000  12 H 2.55
B 0.5000 0.5000 0.5000  6 H 1.81
H 0.0000 0.5000 0.5000  2 B 1.81
H 0.5000 0.0000 0.5000  2 B 1.81
H 0.5000 0.5000 0.0000  2 B 1.81

=====

Here is a geometry-optimized RbBH3 structure from Alexandria. Energies are from PBE-GGA.

Summary:
Crystal system ... orthorhombic
Total magnetic moment ... 0.20 μB/atom
E_tot ... -3.64 eV/atom

Lattice parameters (Å, degrees): 4.8896 4.8896 8.3652 90.00 90.00 120.65
Closest atoms and distances in Å follow each position.
Atoms (fractional coordinates):
Rb 0.0000 0.0000 0.0000  6 H 2.85-3.08
Rb 0.0000 0.0000 0.5000  6 H 2.85-3.08
B 0.3825 0.6175 0.7500  3 H 1.21-1.22
B 0.6175 0.3825 0.2500  3 H 1.21-1.22
H 0.3119 0.6881 0.6239  1 B 1.21
H 0.3119 0.6881 0.8761  1 B 1.21
H 0.4743 0.5257 0.2500  1 B 1.22
H 0.5257 0.4743 0.7500  1 B 1.22
H 0.6881 0.3119 0.1239  1 B 1.21
H 0.6881 0.3119 0.3761  1 B 1.21

=====

Here is a geometry-optimized RbB5H5 structure from Alexandria. Energies are from PBE-GGA.

Summary:
Crystal system ... monoclinic
Total magnetic moment ... 0.00 μB/atom
E_tot ... -4.97 eV/atom

Lattice parameters (Å, degrees): 7.1700 11.4385 14.7322 90.00 115.92 90.00
Closest atoms and distances in Å follow each position.
Atoms (fractional coordinates):
Rb 0.1492 0.0165 0.3455  8 H 2.83-3.12
Rb 0.1492 0.4835 0.8455  8 H 2.83-3.12
Rb 0.3364 0.6379 0.5636  7 H 2.75-2.97
Rb 0.3364 0.8621 0.0636  7 H 2.75-2.97
Rb 0.6636 0.1379 0.9364  7 H 2.75-2.97
Rb 0.6636 0.3621 0.4364  7 H 2.75-2.97
Rb 0.8508 0.5165 0.1545  8 H 2.83-3.12
Rb 0.8508 0.9835 0.6545  8 H 2.83-3.12
B 0.0857 0.1942 0.5696  1 H 1.20
B 0.0857 0.3058 0.0696  1 H 1.20
B 0.1254 0.2294 0.1758  1 H 1.20
B 0.1254 0.2706 0.6758  1 H 1.20
B 0.1841 0.1561 0.0910  1 H 1.21
B 0.1841 0.3439 0.5910  1 H 1.21
B 0.2386 0.2476 0.5084  1 H 1.21
B 0.2386 0.2524 0.0084  1 H 1.21
B 0.2828 0.1528 0.6947  1 H 1.21
B 0.2828 0.3472 0.1947  1 H 1.21
B 0.3101 0.1111 0.5834  1 H 1.20
B 0.3101 0.3889 0.0834  1 H 1.20
B 0.3820 0.1974 0.2159  1 H 1.21
B 0.3820 0.3026 0.7159  1 H 1.21
B 0.4485 0.1763 0.1111  1 H 1.21
B 0.4485 0.3237 0.6111  1 H 1.21
B 0.4809 0.6882 0.8147  1 H 1.21
B 0.4809 0.8118 0.3147  1 H 1.21
B 0.4846 0.1945 0.5636  1 H 1.20
B 0.4846 0.3055 0.0636  1 H 1.20
B 0.5154 0.6945 0.9364  1 H 1.20
B 0.5154 0.8055 0.4364  1 H 1.20
B 0.5191 0.1882 0.6853  1 H 1.21
B 0.5191 0.3118 0.1853  1 H 1.21
B 0.5515 0.6763 0.3889  1 H 1.21
B 0.5515 0.8237 0.8889  1 H 1.21
B 0.6180 0.6974 0.2841  1 H 1.21
B 0.6180 0.8026 0.7841  1 H 1.21
B 0.6899 0.6111 0.9166  1 H 1.20
B 0.6899 0.8889 0.4166  1 H 1.20
B 0.7172 0.6528 0.8053  1 H 1.21
B 0.7172 0.8472 0.3053  1 H 1.21
B 0.7614 0.7476 0.9916  1 H 1.21
B 0.7614 0.7524 0.4916  1 H 1.21
B 0.8159 0.6561 0.4090  1 H 1.21
B 0.8159 0.8439 0.9090  1 H 1.21
B 0.8746 0.7294 0.3242  1 H 1.20
B 0.8746 0.7706 0.8242  1 H 1.20
B 0.9143 0.6942 0.9304  1 H 1.20
B 0.9143 0.8058 0.4304  1 H 1.20
H 0.0047 0.2073 0.2096  1 B 1.20
H 0.0047 0.2927 0.7096  1 B 1.20
H 0.0827 0.6541 0.9831  1 B 1.20
H 0.0827 0.8459 0.4831  1 B 1.20
H 0.0990 0.0643 0.0574  1 B 1.21
H 0.0990 0.4357 0.5574  1 B 1.21
H 0.1529 0.2345 0.9186  1 B 1.21
H 0.1529 0.2655 0.4186  1 B 1.21
H 0.2883 0.0095 0.5599  1 B 1.20
H 0.2878 0.0760 0.7521  1 B 1.21
H 0.2878 0.4240 0.2521  1 B 1.21
H 0.2883 0.4905 0.0599  1 B 1.20
H 0.3164 0.6548 0.7503  1 B 1.21
H 0.3164 0.8452 0.2503  1 B 1.21
H 0.4019 0.6669 0.9729  1 B 1.20
H 0.4019 0.8331 0.4729  1 B 1.20
H 0.4491 0.5918 0.3878  1 B 1.21
H 0.4491 0.9082 0.8878  1 B 1.21
H 0.4752 0.1418 0.2921  1 B 1.21
H 0.4752 0.3582 0.7921  1 B 1.21
H 0.5248 0.6418 0.2079  1 B 1.21
H 0.5248 0.8582 0.7079  1 B 1.21
H 0.5509 0.0918 0.1122  1 B 1.21
H 0.5509 0.4082 0.6122  1 B 1.21
H 0.5981 0.1669 0.5271  1 B 1.20
H 0.5981 0.3331 0.0271  1 B 1.20
H 0.6836 0.1548 0.7497  1 B 1.21
H 0.6836 0.3452 0.2497  1 B 1.21
H 0.7117 0.5095 0.9401  1 B 1.20
H 0.7122 0.5760 0.7479  1 B 1.21
H 0.7122 0.9240 0.2479  1 B 1.21
H 0.7117 0.9905 0.4401  1 B 1.20
H 0.8471 0.7345 0.5814  1 B 1.21
H 0.8471 0.7655 0.0814  1 B 1.21
H 0.9010 0.5643 0.4426  1 B 1.21
H 0.9010 0.9357 0.9426  1 B 1.21
H 0.9173 0.1541 0.5169  1 B 1.20
H 0.9173 0.3459 0.0169  1 B 1.20
H 0.9953 0.7073 0.2904  1 B 1.20
H 0.9953 0.7927 0.7904  1 B 1.20